# 1
HfZn3O | SCAN | single point on PBEsol structure

Geometry as POSCAR:
```
HfZn3O
1.0
4.2128 0.0000 0.0000
0.0000 4.2128 0.0000
0.0000 0.0000 4.2128
Hf Zn O
1 3 1
direct
0.0000 0.0000 0.0000
0.0000 0.5000 0.5000
0.5000 0.0000 0.5000
0.5000 0.5000 0.0000
0.5000 0.5000 0.5000
```

magnetization: 1.480 Bohr magnetons per cell
relative energy among the computed polymorphs: 0.000 kcal/mol of atoms

# 2
HfZrO4 | SCAN | single point on PBEsol structure

Geometry as POSCAR:
```
HfZrO4
1.0
5.8054 0.0000 0.0000
0.0000 4.8331 0.0000
-2.2303 0.0000 5.3593
Hf Zr O
2 2 8
direct
0.0000 0.0000 0.0000
0.0000 0.5000 0.5000
0.5000 0.0000 0.5000
0.5000 0.5000 0.0000
0.1503 0.1966 0.3447
0.1503 0.3034 0.8447
0.3452 0.6922 0.6500
0.3452 0.8078 0.1500
0.6548 0.1922 0.8500
0.6548 0.3078 0.3500
0.8497 0.6966 0.1553
0.8497 0.8034 0.6553
```

magnetization: 0.000 Bohr magnetons per cell
electronic total energy: -23.493 eV per atom

# 3
HfZrO4 | SCAN | single point on PBEsol structure

Geometry as POSCAR:
```
HfZrO4
1.0
-3.5708 3.5708 5.1484
3.5708 -3.5708 5.1484
3.5708 3.5708 -5.1484
Hf Zr O
4 4 16
direct
0.2496 0.0000 0.2496
0.7500 0.0004 0.2504
0.7504 0.0000 0.7504
0.7500 0.4996 0.7496
0.2512 0.0015 0.7504
0.2512 0.5008 0.2496
0.2508 0.5012 0.7496
0.7515 0.5012 0.2504
0.1002 0.0994 0.4961
0.1002 0.6042 0.0008
0.1480 0.1480 0.0000
0.1487 0.6487 0.5000
0.3542 0.3502 0.5008
0.3542 0.8533 0.0039
0.3987 0.3987 0.0000
0.4009 0.9009 0.5000
0.6033 0.0994 0.9992
0.6033 0.6042 0.5039
0.6502 0.1502 0.5000
0.6509 0.6509 0.0000
0.8494 0.3502 0.9961
0.8494 0.8533 0.4992
0.8980 0.3980 0.5000
0.9002 0.9002 0.0000
```

magnetization: 0.000 Bohr magnetons per cell
electronic total energy: -23.509 eV per atom

# 4
HfZrO4 | SCAN | single point on PBEsol structure

Geometry as POSCAR:
```
HfZrO4
1.0
-2.5246 2.5246 5.1486
2.5246 -2.5246 5.1486
2.5246 2.5246 -5.1486
Hf Zr O
2 2 8
direct
0.3750 0.1250 0.2500
0.6250 0.8750 0.7500
0.1250 0.3750 0.7500
0.8750 0.6250 0.2500
0.0254 0.2719 0.2497
0.2281 0.9778 0.7536
0.2757 0.5254 0.2536
0.4778 0.2243 0.7497
0.5222 0.7757 0.2503
0.7243 0.4746 0.7464
0.7719 0.0222 0.2464
0.9746 0.7281 0.7503
```

magnetization: 0.000 Bohr magnetons per cell
electronic total energy: -23.509 eV per atom